NpNiBi2O8: optimized geometry, PBE+U.

The volume is 177.9 Å³/cell. For the raw total energy, the calculation gives -6.7798 eV/atom.

Geometry as CIF:
```
data_NpNiBi2O8
_symmetry_space_group_name_H-M 'P -1'
_symmetry_Int_Tables_number 2
_cell_length_a 5.045
_cell_length_b 5.048
_cell_length_c 7.024
_cell_angle_alpha 86.19
_cell_angle_beta 86.29
_cell_angle_gamma 86.75
loop_
_symmetry_equiv_pos_as_xyz
'x,y,z'
'-x,-y,-z'
loop_
_atom_site_label
_atom_site_type_symbol
_atom_site_fract_x
_atom_site_fract_y
_atom_site_fract_z
Np1 Np 0.000 0.000 0.000
Ni1 Ni 0.000 0.000 0.500
Bi1 Bi 0.460 0.461 0.268
O1 O 0.152 0.154 0.250
O2 O 0.201 0.206 0.812
O3 O 0.288 0.714 0.500
O4 O 0.298 0.706 0.999
```